Record 1
VASP calculation (PBE-GGA) on a relaxed structure of BaSr2C.

Structure (extended XYZ):
```
8
Lattice="8.373 0.000 0.000 0.000 8.373 0.000 4.187 4.187 5.456" Properties=species:S:1:pos:R:3 pbc="T T T"
Sr 10.467 8.847 4.092
Sr 4.661 2.093 1.364
Sr 6.280 7.899 4.092
Sr 3.713 6.280 1.364
Ba 0.000 0.000 0.000
Ba 8.373 4.187 2.728
C 4.187 8.373 2.728
C 4.187 4.187 0.000
```

Results
As for the total energy: -23.75 eV/cell. The value obtained for the magnetization is 0.00 μB per cell. As for the space group: I-42d, No. 122.

***

Record 2
VASP calculation (PBE-GGA) on a relaxed structure of CrIn2P.

Structure (extended XYZ):
```
4
Lattice="5.474 -0.011 0.000 2.396 4.921 0.000 -3.935 -2.455 2.907" Properties=species:S:1:pos:R:3 pbc="T T T"
Cr 2.737 -0.005 1.453
P 1.198 2.461 1.453
In 3.935 2.455 0.000
In 0.000 0.000 0.000
```

Results
As for the total energy: -18.87 eV/cell. The value obtained for the magnetization is 3.52 μB per cell. As for the space group: I4/mmm, No. 139.